(1)
A geometry-optimized MgFeHg2 structure, computed with GGA-PBE.

SG ... Pmm2, No. 25
DOS at the Fermi energy ... 2.69 states/eV per cell
Energy of formation from the pure elements ... 0.193 eV per atom

a = 3.2626 Å, b = 4.7793 Å, c = 4.7818 Å
α = 90.00°, β = 90.00°, γ = 90.00°
Last column: nearest neighbours and their distance in Å.
Sites, in units of the cell vectors:
Mg (0.0000, 0.0000, 0.0000)  8 Hg 2.89-2.90
Fe (0.0000, 0.5000, 0.5045)  8 Hg 2.89-2.90
Hg (0.5000, 0.0000, 0.5005)  4 Mg 2.89-2.90, 4 Fe 2.89
Hg (0.5000, 0.5000, 0.0041)  4 Fe 2.89-2.90, 4 Mg 2.89

***

(2)
A geometry-optimized Mg2Fe2Hg structure, computed with GGA-PBE.

SG ... I4/mmm, No. 139
DOS at the Fermi energy ... 7.02 states/eV per cell
Energy of formation from the pure elements ... 0.544 eV per atom
Energy above the most stable polymorph in this dataset ... 0.319 eV per atom

a = 3.9092 Å, b = 3.9092 Å, c = 12.1350 Å
α = 90.00°, β = 90.00°, γ = 90.00°
Last column: nearest neighbours and their distance in Å.
Sites, in units of the cell vectors:
Mg (0.0000, 0.5000, 0.2500)  4 Mg 2.76, 4 Fe 2.77
Mg (0.0000, 0.5000, 0.7500)  4 Mg 2.76, 4 Fe 2.77
Mg (0.5000, 0.0000, 0.2500)  4 Mg 2.76, 4 Fe 2.77
Mg (0.5000, 0.0000, 0.7500)  4 Mg 2.76, 4 Fe 2.77
Fe (0.0000, 0.0000, 0.0879)  1 Fe 2.13
Fe (0.0000, 0.0000, 0.9121)  1 Fe 2.13
Fe (0.5000, 0.5000, 0.4121)  1 Fe 2.13
Fe (0.5000, 0.5000, 0.5879)  1 Fe 2.13
Hg (0.0000, 0.0000, 0.5000)  8 Fe 2.96
Hg (0.5000, 0.5000, 0.0000)  8 Fe 2.96

***

(3)
A geometry-optimized MgFeHg3 structure, computed with GGA-PBE.

SG ... Pm-3m, No. 221
DOS at the Fermi energy ... 3.77 states/eV per cell
Energy of formation from the pure elements ... 0.419 eV per atom
Energy above the most stable polymorph in this dataset ... 0.000 eV per atom

a = 5.0859 Å, b = 5.0859 Å, c = 5.0859 Å
α = 90.00°, β = 90.00°, γ = 90.00°
Last column: nearest neighbours and their distance in Å.
Sites, in units of the cell vectors:
Mg (0.0000, 0.0000, 0.0000)  12 Hg 3.60
Fe (0.5000, 0.5000, 0.5000)  6 Hg 2.54
Hg (0.0000, 0.5000, 0.5000)  2 Fe 2.54
Hg (0.5000, 0.0000, 0.5000)  2 Fe 2.54
Hg (0.5000, 0.5000, 0.0000)  2 Fe 2.54

***

(4)
A geometry-optimized Mg2Fe2Hg structure, computed with GGA-PBE.

SG ... I4/mmm, No. 139
DOS at the Fermi energy ... 8.07 states/eV per cell
Energy of formation from the pure elements ... 0.231 eV per atom
Energy above the most stable polymorph in this dataset ... 0.006 eV per atom

a = 3.3544 Å, b = 3.3544 Å, c = 16.2972 Å
α = 90.00°, β = 90.00°, γ = 90.00°
Last column: nearest neighbours and their distance in Å.
Sites, in units of the cell vectors:
Mg (0.0000, 0.0000, 0.1137)  4 Fe 2.78, 4 Hg 3.01
Mg (0.0000, 0.0000, 0.8863)  4 Fe 2.78, 4 Hg 3.01
Mg (0.5000, 0.5000, 0.3863)  4 Fe 2.78, 4 Hg 3.01
Mg (0.5000, 0.5000, 0.6137)  4 Fe 2.78, 4 Hg 3.01
Fe (0.0000, 0.5000, 0.2500)  4 Fe 2.37
Fe (0.0000, 0.5000, 0.7500)  4 Fe 2.37
Fe (0.5000, 0.0000, 0.2500)  4 Fe 2.37
Fe (0.5000, 0.0000, 0.7500)  4 Fe 2.37
Hg (0.0000, 0.0000, 0.5000)  8 Mg 3.01, 4 Hg 3.35
Hg (0.5000, 0.5000, 0.0000)  8 Mg 3.01, 4 Hg 3.35

***

(5)
A geometry-optimized MgFeHg2 structure, computed with GGA-PBE.

SG ... Imm2, No. 44
DOS at the Fermi energy ... 5.16 states/eV per cell
Energy of formation from the pure elements ... 0.215 eV per atom

a = 3.0524 Å, b = 4.6953 Å, c = 11.0592 Å
α = 90.00°, β = 90.00°, γ = 90.00°
Last column: nearest neighbours and their distance in Å.
Sites, in units of the cell vectors:
Mg (0.0000, 0.0000, 0.0000)  2 Fe 2.77, 4 Hg 2.94, 2 Mg 3.05
Mg (0.5000, 0.5000, 0.5000)  2 Fe 2.77, 4 Hg 2.94, 2 Mg 3.05
Fe (0.0000, 0.5000, 0.7090)  2 Mg 2.77, 6 Hg 2.78-2.80, 2 Fe 3.05
Fe (0.5000, 0.0000, 0.2090)  2 Mg 2.77, 6 Hg 2.78-2.80, 2 Fe 3.05
Hg (0.0000, 0.0000, 0.4195)  2 Fe 2.78, 4 Mg 2.94, 2 Hg 3.05
Hg (0.0000, 0.5000, 0.2003)  4 Fe 2.80, 2 Hg 3.05
Hg (0.5000, 0.0000, 0.7003)  4 Fe 2.80, 2 Hg 3.05
Hg (0.5000, 0.5000, 0.9195)  2 Fe 2.78, 4 Mg 2.94, 2 Hg 3.05

***

(6)
A geometry-optimized MgFeHg2 structure, computed with GGA-PBE.

SG ... I-4m2, No. 119
DOS at the Fermi energy ... 8.65 states/eV per cell
Energy of formation from the pure elements ... 0.260 eV per atom

a = 4.0607 Å, b = 4.0607 Å, c = 9.1432 Å
α = 90.00°, β = 90.00°, γ = 90.00°
Last column: nearest neighbours and their distance in Å.
Sites, in units of the cell vectors:
Mg (0.0000, 0.0000, 0.0000)  8 Hg 2.87-3.06, 4 Fe 3.06
Mg (0.5000, 0.5000, 0.5000)  8 Hg 2.87-3.06, 4 Fe 3.06
Fe (0.0000, 0.5000, 0.7500)  8 Hg 2.87-3.06, 4 Mg 3.06
Fe (0.5000, 0.0000, 0.2500)  8 Hg 2.87-3.06, 4 Mg 3.06
Hg (0.0000, 0.0000, 0.5000)  4 Mg 2.87, 4 Hg 3.06, 4 Fe 3.06
Hg (0.0000, 0.5000, 0.2500)  4 Fe 2.87, 4 Hg 3.06, 4 Mg 3.06
Hg (0.5000, 0.0000, 0.7500)  4 Fe 2.87, 4 Hg 3.06, 4 Mg 3.06
Hg (0.5000, 0.5000, 0.0000)  4 Mg 2.87, 4 Hg 3.06, 4 Fe 3.06

***

Question: DOS at the Fermi energy of number 4 (Mg2Fe2Hg)?
Answer: 8.07 states/eV per cell